(1)
Here is an optimized crystal structure of La4ReW from Alexandria via LeMat-Bulk. Energies are from PBE.

a = 8.571 Å, b = 8.571 Å, c = 8.571 Å
α = 90.00°, β = 90.00°, γ = 90.00°
Space group F-43m (No. 216)
Symmetry-distinct sites (fractional):
La 0.125 0.125 0.125 (multiplicity 16)
Re 0.250 0.250 0.750 (multiplicity 4)
W 0.000 0.000 0.500 (multiplicity 4)

* size of the total moment: 0.439 μB per formula unit
* Fermi-level density of states: 9.70 states/eV/f.u.
* DFT total energy: -6.061 eV/atom
* DFT formation energy: 1458 meV per atom

=====

(2)
Here is an optimized crystal structure of ErMgZnGa from Alexandria via LeMat-Bulk. Energies are from PBE.

a = 6.843 Å, b = 6.843 Å, c = 6.843 Å
α = 90.00°, β = 90.00°, γ = 90.00°
Space group F-43m (No. 216)
Symmetry-distinct sites (fractional):
Er 0.000 0.000 0.000 (multiplicity 4)
Mg 0.000 0.000 0.500 (multiplicity 4)
Zn 0.250 0.250 0.750 (multiplicity 4)
Ga 0.250 0.250 0.250 (multiplicity 4)

* size of the total moment: 0.000 μB per formula unit
* Fermi-level density of states: 1.18 states/eV/f.u.
* DFT total energy: -2.997 eV/atom
* DFT formation energy: -383 meV per atom

=====

(3)
Here is an optimized crystal structure of ZrCoNi2 from Alexandria via LeMat-Bulk. Energies are from PBE.

a = 2.7318 Å, b = 2.7318 Å, c = 25.7646 Å
α = 90.00°, β = 90.00°, γ = 120.00°
Space group R-3m (No. 166, hexagonal axes)
Symmetry-distinct sites (fractional):
Zr 0.0000 0.0000 0.0000 (multiplicity 3)
Co 0.0000 0.0000 0.5000 (multiplicity 3)
Ni 0.0000 0.0000 0.2412 (multiplicity 6)

* size of the total moment: 2.588 μB per formula unit
* Fermi-level density of states: 5.99 states/eV/f.u.
* DFT total energy: -6.556 eV/atom
* DFT formation energy: 249 meV per atom

=====

(4)
Here is an optimized crystal structure of Sr2MgBe from Alexandria via LeMat-Bulk. Energies are from PBE.

a = 3.821 Å, b = 3.821 Å, c = 8.527 Å
α = 90.00°, β = 90.00°, γ = 90.00°
Space group P4/mmm (No. 123)
Symmetry-distinct sites (fractional):
Sr 0.000 0.000 0.216 (multiplicity 2)
Mg 0.500 0.500 0.500 (multiplicity 1)
Be 0.500 0.500 0.000 (multiplicity 1)

* size of the total moment: 0.000 μB per formula unit
* excess energy over the best structure of this formula in the dataset: 0 kJ/mol of formula units
* Fermi-level density of states: 3.29 states/eV/f.u.
* DFT total energy: -1.925 eV/atom
* DFT formation energy: 246 meV per atom

=====

(5)
Here is an optimized crystal structure of Y2PaSe6 from Alexandria via LeMat-Bulk. Energies are from PBE.

a = 6.697 Å, b = 6.697 Å, c = 12.608 Å
α = 90.00°, β = 90.00°, γ = 90.00°
Space group P4_2/mnm (No. 136)
Symmetry-distinct sites (fractional):
Y 0.000 0.000 0.167 (multiplicity 4)
Pa 0.000 0.000 0.500 (multiplicity 2)
Se 0.197 0.197 0.338 (multiplicity 8)
Se 0.206 0.206 0.000 (multiplicity 4)

* size of the total moment: 0.000 μB per formula unit
* Fermi-level density of states: 4.65 states/eV/f.u.
* DFT total energy: -6.243 eV/atom
* energy relative to the elements, uncorrected: -1429 meV per atom

=====

(6)
Here is an optimized crystal structure of HoVOs2 from Alexandria via LeMat-Bulk. Energies are from PBE.

a = 3.097 Å, b = 3.097 Å, c = 6.914 Å
α = 90.00°, β = 90.00°, γ = 90.00°
Space group P4/mmm (No. 123)
Symmetry-distinct sites (fractional):
Ho 0.000 0.000 0.000 (multiplicity 1)
V 0.000 0.000 0.500 (multiplicity 1)
Os 0.500 0.500 0.292 (multiplicity 2)

* size of the total moment: 0.000 μB per formula unit
* excess energy over the best structure of this formula in the dataset: 0 kJ/mol of formula units
* Fermi-level density of states: 2.25 states/eV/f.u.
* DFT total energy: -9.198 eV/atom
* DFT formation energy: -159 meV per atom